[1]
A plane-wave DFT calculation with PBE-GGA was carried out for a geometry-optimized Pd2Pb3Au structure.

Structure (POSCAR):
```
Pd2Pb3Au
1.0
-3.2882 -1.3088 1.3708
3.0470 -6.7777 -4.4157
3.6867 -0.5066 8.3595
Pb Pd Au
6 4 2
direct
0.6065 0.2130 0.3940
0.7781 0.5563 0.8427
0.9141 0.8281 0.2881
0.3935 0.7870 0.6060
0.2219 0.4437 0.1573
0.0859 0.1719 0.7119
0.0473 0.0945 0.1560
0.9527 0.9055 0.8440
0.2232 0.4464 0.5926
0.7768 0.5536 0.4074
0.4118 0.8237 0.0402
0.5882 0.1763 0.9598
```

Results
energy = -51.2 eV for the cell shown
calculated volume = 23.370 Å³/atom
formation enthalpy at 0 K = -0.14 eV/atom
magnetic moment = 0.0 μB per formula unit

---

[2]
A plane-wave DFT calculation with PBE-GGA was carried out for a geometry-optimized YHoSeN structure.

Structure (POSCAR):
```
YHoSeN
1.0
-0.4367 -3.6354 -0.1355
2.3402 -2.0556 -1.9295
4.3999 -2.5452 4.5692
N Se Y Ho
1 1 1 1
direct
0.2514 0.2514 0.2458
0.7492 0.7492 0.7524
0.5169 0.5169 0.4493
0.9825 0.9825 0.0525
```

Results
energy = -29.7 eV for the cell shown
calculated volume = 18.891 Å³/atom
formation energy from raw total energies = -1.711 eV/atom
magnetic moment = 0.0 μB per formula unit

---

[3]
A plane-wave DFT calculation with PBE-GGA was carried out for a geometry-optimized NiMo2OsCl structure.

Structure (POSCAR):
```
NiMo2OsCl
1.0
4.8334 0.0000 0.0000
0.0000 4.5878 0.0000
0.0000 0.0000 4.8334
Ni Os Mo Cl
1 1 2 1
direct
0.0000 0.5000 0.0000
0.0000 0.0000 0.0000
0.5000 0.0000 0.0000
0.0000 0.0000 0.5000
0.5000 0.5000 0.5000
```

Results
energy = -32.7 eV for the cell shown
calculated volume = 21.436 Å³/atom
formation energy from raw total energies = 1.554 eV/atom
magnetic moment = 2.9 μB per formula unit

---

[4]
A plane-wave DFT calculation with PBE-GGA was carried out for a geometry-optimized Nb3WS6 structure.

Structure (POSCAR):
```
Nb3WS6
1.0
7.5847 1.2311 1.2587
1.0662 7.6096 1.2587
1.0662 1.0896 7.6357
Nb S W
6 12 2
direct
0.1275 0.2606 0.6332
0.7394 0.3668 0.8725
0.2606 0.6332 0.1275
0.8725 0.7394 0.3668
0.6332 0.1275 0.2606
0.3668 0.8725 0.7394
0.8277 0.4102 0.5260
0.6795 0.0690 0.9582
0.3205 0.9310 0.0418
0.0418 0.3205 0.9310
0.4102 0.5260 0.8277
0.0690 0.9582 0.6795
0.9310 0.0418 0.3205
0.5260 0.8277 0.4102
0.9582 0.6795 0.0690
0.1723 0.5898 0.4740
0.5898 0.4740 0.1723
0.4740 0.1723 0.5898
0.5000 0.5000 0.5000
0.0000 0.0000 0.0000
```

Results
energy = -149.6 eV for the cell shown
calculated volume = 20.659 Å³/atom
formation energy from raw total energies = -0.690 eV/atom
magnetic moment = 0.0 μB per formula unit

---

[5]
A plane-wave DFT calculation with PBE-GGA was carried out for a geometry-optimized MnFeAg2 structure.

Structure (POSCAR):
```
MnFeAg2
1.0
7.1735 0.0000 0.0000
0.0000 7.1735 0.0000
3.5868 3.5868 2.6247
Ag Mn Fe
4 2 2
direct
0.1099 0.6250 0.2500
0.3750 0.3599 0.7500
0.8750 0.8901 0.7500
0.6401 0.1250 0.2500
0.5000 0.5000 0.0000
0.2500 0.7500 0.5000
0.0000 0.0000 0.0000
0.7500 0.2500 0.5000
```

Results
energy = -39.1 eV for the cell shown
calculated volume = 16.883 Å³/atom
formation enthalpy at 0 K = 0.95 eV/atom
magnetic moment = 4.0 μB per formula unit

---

[6]
A plane-wave DFT calculation with PBE-GGA was carried out for a geometry-optimized Re2BiRuCl structure.

Structure (POSCAR):
```
Re2BiRuCl
1.0
4.8250 0.0000 0.0000
0.0000 4.8250 0.0000
0.0000 0.0000 4.6769
Bi Re Ru Cl
1 2 1 1
direct
0.5000 0.5000 0.5000
0.5000 0.0000 0.0000
0.0000 0.5000 0.0000
0.0000 0.0000 0.0000
0.0000 0.0000 0.5000
```

Results
energy = -31.9 eV for the cell shown
calculated volume = 21.776 Å³/atom
formation energy from raw total energies = 1.602 eV/atom
magnetic moment = 2.4 μB per formula unit